1.
Sc2AlNi: PBEsol geometry, SCAN.

Summary:
Formation enthalpy at 0 K = -436 meV per atom
Fermi-level density of states = 7.0 states/eV/cell
Volume = 139.5 Å³/cell

```
8
Lattice="1.5190 -5.6009 0.0000 1.5190 5.6009 0.0000 0.0000 0.0000 8.1999" Properties=species:S:1:pos:R:3 pbc="T T T"
Sc 1.5190 4.1272 4.5982
Sc 1.5190 4.1272 7.7016
Sc 1.5190 -4.1272 0.4982
Sc 1.5190 -4.1272 3.6017
Al 1.5190 0.6964 6.1499
Al 1.5190 -0.6964 2.0500
Ni 1.5190 2.9146 2.0500
Ni 1.5190 -2.9146 6.1499
```



2.
TiCu3P4O16: PBEsol geometry, SCAN.

Summary:
Formation energy without anion corrections = -2.01 eV per atom
Fermi-level density of states = 2.8 states/eV/cell
Volume = 298.6 Å³/cell

```
24
Lattice="5.0607 0.0000 0.0000 0.0000 5.9552 0.0000 -0.3206 0.0000 9.9070" Properties=species:S:1:pos:R:3 pbc="T T T"
Ti 0.0000 0.0000 0.0000
Cu 0.5204 2.9776 5.9121
Cu 1.9157 2.9776 0.9169
Cu 3.1126 0.0000 4.7332
P 0.2511 0.0000 6.6723
P 2.2572 0.0000 1.7721
P 2.7633 2.9776 3.9591
P 4.6126 2.9776 8.8177
O 0.4508 0.0000 8.2310
O 0.9991 1.1958 6.0600
O 0.9991 4.7594 6.0600
O 1.0733 2.9776 9.0658
O 1.2450 2.9776 4.2157
O 1.4306 1.1359 1.0456
O 1.4306 4.8193 1.0456
O 1.9975 0.0000 3.2653
O 2.9516 2.9776 2.4265
O 3.5270 1.7913 4.5973
O 3.5270 4.1639 4.5973
O 3.7324 0.0000 1.4231
O 3.7922 0.0000 6.4544
O 3.9562 1.7268 9.4873
O 3.9562 4.2284 9.4873
O 4.3745 2.9776 7.3030
```



3.
MgReSn3: PBEsol geometry, SCAN.

Summary:
Formation enthalpy at 0 K = 450 meV per atom
Fermi-level density of states = 3.5 states/eV/cell
Volume = 138.9 Å³/cell

```
5
Lattice="5.1790 0.0000 0.0000 0.0000 5.1790 0.0000 0.0000 0.0000 5.1790" Properties=species:S:1:pos:R:3 pbc="T T T"
Mg 0.0000 0.0000 0.0000
Re 2.5895 2.5895 2.5895
Sn 0.0000 2.5895 2.5895
Sn 2.5895 0.0000 2.5895
Sn 2.5895 2.5895 0.0000
```



4.
Mo2Os2S: PBEsol geometry, SCAN.

Summary:
Formation energy without anion corrections = 0.51 eV per atom
Fermi-level density of states = 3.9 states/eV/cell
Volume = 82.0 Å³/cell

```
5
Lattice="-1.7631 1.7631 6.5983 1.7631 -1.7631 6.5983 1.7631 1.7631 -6.5983" Properties=species:S:1:pos:R:3 pbc="T T T"
Mo 0.0000 0.0000 1.3772
Mo 0.0000 0.0000 11.8193
Os 1.7631 0.0000 3.2991
Os 0.0000 1.7631 3.2991
S 0.0000 0.0000 6.5983
```



5.
AlTe2N: PBEsol geometry, SCAN.

Summary:
Formation energy without anion corrections = 0.95 eV per atom
Fermi-level density of states = 1.8 states/eV/cell
Volume = 79.9 Å³/cell

```
4
Lattice="1.5985 0.9229 9.0320 -1.5985 0.9229 9.0320 0.0000 -1.8458 9.0320" Properties=species:S:1:pos:R:3 pbc="T T T"
Al 0.0000 0.0000 0.0000
Te 0.0000 0.0000 2.8755
Te 0.0000 0.0000 24.2205
N 0.0000 0.0000 13.5480
```



6.
Tb3Ge5: PBEsol geometry, SCAN.

Summary:
Formation enthalpy at 0 K = -805 meV per atom
Relative energy among the computed polymorphs = 0.000 eV per atom
Fermi-level density of states = 4.1 states/eV/cell
Volume = 332.7 Å³/cell

```
16
Lattice="6.8181 0.0000 0.0000 -3.4090 5.9046 0.0000 0.0000 0.0000 8.2647" Properties=species:S:1:pos:R:3 pbc="T T T"
Tb -1.1260 1.9503 0.0000
Tb -1.1260 1.9503 4.1324
Tb 2.2520 0.0000 0.0000
Tb 2.2520 0.0000 4.1324
Tb 2.2831 3.9544 0.0000
Tb 2.2831 3.9544 4.1324
Ge 0.0000 0.0000 2.0662
Ge 0.0000 0.0000 6.1986
Ge -1.7824 3.9439 2.0662
Ge 0.8847 2.3891 2.0662
Ge 0.0000 3.9364 6.1986
Ge 1.6266 1.9607 6.1986
Ge 0.8977 5.4763 2.0662
Ge 3.4090 1.9682 2.0662
Ge 4.3067 0.4283 6.1986
Ge 4.2938 3.5155 6.1986
```



7.
CdInHg2: PBEsol geometry, SCAN.

Summary:
Formation enthalpy at 0 K = 48 meV per atom
Fermi-level density of states = 1.5 states/eV/cell
Volume = 92.0 Å³/cell

```
4
Lattice="1.6464 0.9505 9.8018 -1.6464 0.9505 9.8018 0.0000 -1.9011 9.8018" Properties=species:S:1:pos:R:3 pbc="T T T"
Cd 0.0000 0.0000 0.0000
In 0.0000 0.0000 7.2861
Hg 0.0000 0.0000 14.5796
Hg 0.0000 0.0000 21.9623
```



8.
Tl2RhBrN: PBEsol geometry, SCAN.

Summary:
Formation energy without anion corrections = 1.13 eV per atom
Fermi-level density of states = 2.3 states/eV/cell
Volume = 98.9 Å³/cell

```
5
Lattice="4.7882 0.0000 0.0000 0.0000 4.7882 0.0000 0.0000 0.0000 4.3149" Properties=species:S:1:pos:R:3 pbc="T T T"
Tl 0.0000 2.3941 0.0000
Tl 2.3941 0.0000 0.0000
Rh 0.0000 0.0000 2.1575
Br 2.3941 2.3941 2.1575
N 2.3941 2.3941 0.0000
```



The highest Fermi-level density of states belongs to which entry?
Sc2AlNi



Please write out number 7 again, unchanged.
CdInHg2: PBEsol geometry, SCAN.

Summary:
Formation enthalpy at 0 K = 48 meV per atom
Fermi-level density of states = 1.5 states/eV/cell
Volume = 92.0 Å³/cell

```
4
Lattice="1.6464 0.9505 9.8018 -1.6464 0.9505 9.8018 0.0000 -1.9011 9.8018" Properties=species:S:1:pos:R:3 pbc="T T T"
Cd 0.0000 0.0000 0.0000
In 0.0000 0.0000 7.2861
Hg 0.0000 0.0000 14.5796
Hg 0.0000 0.0000 21.9623
```



Which value of volume does entry 4 give?
82.0 Å³/cell



Which formula does entry 7 have?
CdInHg2